1.
TaGa6Pd | PBE | relaxed

a = 7.4657 Å, b = 5.5241 Å, c = 7.6039 Å
α = 90.00°, β = 111.21°, γ = 90.00°
Space group C2/m (No. 12)
Asymmetric unit:
Ta1 0.0000 0.0000 0.0000 (multiplicity 2)
Ga1 0.1228 0.5000 0.9135 (multiplicity 4)
Ga2 0.1961 0.2521 0.3136 (multiplicity 8)
Pd1 0.0000 0.0000 0.5000 (multiplicity 2)

The calculation puts the total magnetic moment at 0.0 μB per formula unit. Its calculated formation energy is -0.035 eV per atom. The value obtained for the density of states at the Fermi level is 0.44 states/eV/atom.

***

2.
TlV3Fe | PBE | relaxed

a = 4.3656 Å, b = 4.3656 Å, c = 4.3656 Å
α = 90.00°, β = 90.00°, γ = 90.00°
Space group Pm-3m (No. 221)
Asymmetric unit:
Tl1 0.0000 0.0000 0.0000 (multiplicity 1)
V1 0.0000 0.5000 0.5000 (multiplicity 3)
Fe1 0.5000 0.5000 0.5000 (multiplicity 1)

The calculation puts the total magnetic moment at 0.0 μB per formula unit. Its calculated formation energy is 0.644 eV per atom. The value obtained for the density of states at the Fermi level is 1.00 states/eV/atom. The energy above the most stable polymorph in this dataset comes out at 0.00 eV per formula unit.